Entry 1:
# Sm6Dy3Ho2In PBE optimized geometry
data_Sm6Dy3Ho2In
_cell_length_a 6.1533
_cell_length_b 10.6804
_cell_length_c 11.7206
_cell_angle_alpha 90.00
_cell_angle_beta 100.18
_cell_angle_gamma 90.00
_space_group_name_H-M_alt 'C 1 2/m 1'
_space_group_IT_number 12
loop_
_space_group_symop_operation_xyz
'x,y,z'
'-x,-y,-z'
'-x,y,-z'
'x,-y,z'
'x+1/2,y+1/2,z'
'-x+1/2,-y+1/2,-z'
'-x+1/2,y+1/2,-z'
'x+1/2,-y+1/2,z'
loop_
_atom_site_label
_atom_site_type_symbol
_atom_site_fract_x
_atom_site_fract_y
_atom_site_fract_z
_atom_site_occupancy
Sm1 Sm 0.2453 0.0000 0.2514 1
Sm2 Sm 0.2460 0.1639 0.7470 1
Dy1 Dy 0.0000 0.1677 0.0000 1
Dy2 Dy 0.0000 0.5000 0.0000 1
Ho1 Ho 0.0000 0.3339 0.5000 1
In1 In 0.0000 0.0000 0.5000 1
# Crystal system   monoclinic
# Final energy   -0.334 Ry/atom

***

Entry 2:
# DyHoInSn PBE optimized geometry
data_DyHoInSn
_cell_length_a 7.5255
_cell_length_b 7.5255
_cell_length_c 7.5255
_cell_angle_alpha 90.00
_cell_angle_beta 90.00
_cell_angle_gamma 90.00
_space_group_name_H-M_alt 'F -4 3 m'
_space_group_IT_number 216
_space_group_name_Hall 'F -4 2 3'
loop_
_atom_site_label
_atom_site_type_symbol
_atom_site_fract_x
_atom_site_fract_y
_atom_site_fract_z
_atom_site_occupancy
Dy1 Dy 0.0000 0.0000 0.0000 1
Ho1 Ho 0.0000 0.0000 0.5000 1
In1 In 0.2500 0.2500 0.7500 1
Sn1 Sn 0.2500 0.2500 0.2500 1
# Crystal system   cubic
# Final energy   -0.329 Ry/atom

***

Entry 3:
# TbDyHoIn PBE optimized geometry
data_TbDyHoIn
_cell_length_a 4.8414
_cell_length_b 4.8430
_cell_length_c 4.8438
_cell_angle_alpha 90.00
_cell_angle_beta 90.00
_cell_angle_gamma 90.00
_space_group_name_H-M_alt 'P m m m'
_space_group_IT_number 47
loop_
_space_group_symop_operation_xyz
'x,y,z'
'-x,-y,-z'
'-x,-y,z'
'x,y,-z'
'x,-y,-z'
'-x,y,z'
'-x,y,-z'
'x,-y,z'
loop_
_atom_site_label
_atom_site_type_symbol
_atom_site_fract_x
_atom_site_fract_y
_atom_site_fract_z
_atom_site_occupancy
Tb1 Tb 0.0000 0.0000 0.0000 1
Dy1 Dy 0.5000 0.0000 0.5000 1
Ho1 Ho 0.5000 0.5000 0.0000 1
In1 In 0.0000 0.5000 0.5000 1
# Crystal system   orthorhombic
# Final energy   -0.324 Ry/atom

***

Entry 4:
# Tb2Dy6Ho3In PBE optimized geometry
data_Tb2Dy6Ho3In
_cell_length_a 6.0691
_cell_length_b 10.5211
_cell_length_c 11.6211
_cell_angle_alpha 90.00
_cell_angle_beta 100.08
_cell_angle_gamma 90.00
_space_group_name_H-M_alt 'C 1 2/m 1'
_space_group_IT_number 12
loop_
_space_group_symop_operation_xyz
'x,y,z'
'-x,-y,-z'
'-x,y,-z'
'x,-y,z'
'x+1/2,y+1/2,z'
'-x+1/2,-y+1/2,-z'
'-x+1/2,y+1/2,-z'
'x+1/2,-y+1/2,z'
loop_
_atom_site_label
_atom_site_type_symbol
_atom_site_fract_x
_atom_site_fract_y
_atom_site_fract_z
_atom_site_occupancy
Tb1 Tb 0.0000 0.1660 0.0000 1
Dy1 Dy 0.2465 0.3358 0.2480 1
Dy2 Dy 0.2461 0.5000 0.7506 1
Ho1 Ho 0.0000 0.0000 0.5000 1
Ho2 Ho 0.0000 0.3330 0.5000 1
In1 In 0.0000 0.5000 0.0000 1
# Crystal system   monoclinic
# Final energy   -0.330 Ry/atom

***

Entry 5:
# Tb6Dy3Ho2In PBE optimized geometry
data_Tb6Dy3Ho2In
_cell_length_a 6.0940
_cell_length_b 10.5645
_cell_length_c 11.6212
_cell_angle_alpha 90.00
_cell_angle_beta 100.12
_cell_angle_gamma 90.00
_space_group_name_H-M_alt 'C 1 2/m 1'
_space_group_IT_number 12
loop_
_space_group_symop_operation_xyz
'x,y,z'
'-x,-y,-z'
'-x,y,-z'
'x,-y,z'
'x+1/2,y+1/2,z'
'-x+1/2,-y+1/2,-z'
'-x+1/2,y+1/2,-z'
'x+1/2,-y+1/2,z'
loop_
_atom_site_label
_atom_site_type_symbol
_atom_site_fract_x
_atom_site_fract_y
_atom_site_fract_z
_atom_site_occupancy
Tb1 Tb 0.2463 0.0000 0.2520 1
Tb2 Tb 0.2462 0.1643 0.7466 1
Dy1 Dy 0.0000 0.1672 0.0000 1
Dy2 Dy 0.0000 0.5000 0.0000 1
Ho1 Ho 0.0000 0.3339 0.5000 1
In1 In 0.0000 0.0000 0.5000 1
# Crystal system   monoclinic
# Final energy   -0.331 Ry/atom

***

Entry 6:
# Tb3Dy6Ho2In PBE optimized geometry
data_Tb3Dy6Ho2In
_cell_length_a 6.0847
_cell_length_b 10.5486
_cell_length_c 11.6085
_cell_angle_alpha 90.00
_cell_angle_beta 100.13
_cell_angle_gamma 90.00
_space_group_name_H-M_alt 'C 1 2/m 1'
_space_group_IT_number 12
loop_
_space_group_symop_operation_xyz
'x,y,z'
'-x,-y,-z'
'-x,y,-z'
'x,-y,z'
'x+1/2,y+1/2,z'
'-x+1/2,-y+1/2,-z'
'-x+1/2,y+1/2,-z'
'x+1/2,-y+1/2,z'
loop_
_atom_site_label
_atom_site_type_symbol
_atom_site_fract_x
_atom_site_fract_y
_atom_site_fract_z
_atom_site_occupancy
Tb1 Tb 0.0000 0.0000 0.0000 1
Tb2 Tb 0.0000 0.3330 0.0000 1
Dy1 Dy 0.2456 0.3357 0.7460 1
Dy2 Dy 0.2471 0.5000 0.2525 1
Ho1 Ho 0.0000 0.1660 0.5000 1
In1 In 0.0000 0.5000 0.5000 1
# Crystal system   monoclinic
# Final energy   -0.330 Ry/atom

***

Entry 7:
# TbDyHo2In4 PBE optimized geometry
data_TbDyHo2In4
_cell_length_a 5.3059
_cell_length_b 5.3059
_cell_length_c 26.0471
_cell_angle_alpha 90.00
_cell_angle_beta 90.00
_cell_angle_gamma 120.00
_space_group_name_H-M_alt 'R -3 m'
_space_group_IT_number 166
_space_group_name_Hall '-R 3 2"'
loop_
_atom_site_label
_atom_site_type_symbol
_atom_site_fract_x
_atom_site_fract_y
_atom_site_fract_z
_atom_site_occupancy
Tb1 Tb 0.0000 0.0000 0.0000 1
Dy1 Dy 0.0000 0.0000 0.5000 1
Ho1 Ho 0.0000 0.0000 0.2500 1
In1 In 0.0000 0.0000 0.1252 1
In2 In 0.0000 0.0000 0.3752 1
# Crystal system   trigonal
# Final energy   -0.303 Ry/atom

***

Entry 8:
# TbDyHoIn PBE optimized geometry
data_TbDyHoIn
_cell_length_a 7.7019
_cell_length_b 7.7019
_cell_length_c 7.7019
_cell_angle_alpha 90.00
_cell_angle_beta 90.00
_cell_angle_gamma 90.00
_space_group_name_H-M_alt 'F -4 3 m'
_space_group_IT_number 216
_space_group_name_Hall 'F -4 2 3'
loop_
_atom_site_label
_atom_site_type_symbol
_atom_site_fract_x
_atom_site_fract_y
_atom_site_fract_z
_atom_site_occupancy
Tb1 Tb 0.0000 0.0000 0.0000 1
Dy1 Dy 0.0000 0.0000 0.5000 1
Ho1 Ho 0.2500 0.2500 0.2500 1
In1 In 0.2500 0.2500 0.7500 1
# Crystal system   cubic
# Final energy   -0.314 Ry/atom

***

Entry 9:
# Tb2Dy5HoIn PBE optimized geometry
data_Tb2Dy5HoIn
_cell_length_a 5.3471
_cell_length_b 20.0980
_cell_length_c 10.4824
_cell_angle_alpha 90.00
_cell_angle_beta 90.00
_cell_angle_gamma 90.00
_space_group_name_H-M_alt 'C m c m'
_space_group_IT_number 63
_space_group_name_Hall '-C 2c 2'
loop_
_atom_site_label
_atom_site_type_symbol
_atom_site_fract_x
_atom_site_fract_y
_atom_site_fract_z
_atom_site_occupancy
Tb1 Tb 0.0000 0.1160 0.0412 1
Dy1 Dy 0.0000 0.0123 0.7500 1
Dy2 Dy 0.0000 0.2891 0.0510 1
Dy3 Dy 0.0000 0.3828 0.7500 1
Dy4 Dy 0.0000 0.5000 0.0000 1
Ho1 Ho 0.0000 0.2072 0.7500 1
In1 In 0.0000 0.4042 0.2500 1
# Crystal system   orthorhombic
# Final energy   -0.324 Ry/atom

***

Entry 10:
# DyHoInTc PBE optimized geometry
data_DyHoInTc
_cell_length_a 7.1601
_cell_length_b 7.1601
_cell_length_c 7.1601
_cell_angle_alpha 90.00
_cell_angle_beta 90.00
_cell_angle_gamma 90.00
_space_group_name_H-M_alt 'F -4 3 m'
_space_group_IT_number 216
_space_group_name_Hall 'F -4 2 3'
loop_
_atom_site_label
_atom_site_type_symbol
_atom_site_fract_x
_atom_site_fract_y
_atom_site_fract_z
_atom_site_occupancy
Dy1 Dy 0.0000 0.0000 0.0000 1
Ho1 Ho 0.0000 0.0000 0.5000 1
In1 In 0.2500 0.2500 0.2500 1
Tc1 Tc 0.2500 0.2500 0.7500 1
# Crystal system   cubic
# Final energy   -0.421 Ry/atom

***

Entry 11:
# DyHoIn2Te4 PBE optimized geometry
data_DyHoIn2Te4
_cell_length_a 7.6257
_cell_length_b 4.4056
_cell_length_c 8.5012
_cell_angle_alpha 90.00
_cell_angle_beta 107.41
_cell_angle_gamma 90.00
_space_group_name_H-M_alt 'P 1 2/m 1'
_space_group_IT_number 10
loop_
_space_group_symop_operation_xyz
'x,y,z'
'-x,-y,-z'
'-x,y,-z'
'x,-y,z'
loop_
_atom_site_label
_atom_site_type_symbol
_atom_site_fract_x
_atom_site_fract_y
_atom_site_fract_z
_atom_site_occupancy
Dy1 Dy 0.0000 0.0000 0.0000 1
Ho1 Ho 0.5000 0.5000 0.0000 1
In1 In 0.0000 0.5000 0.5000 1
In2 In 0.5000 0.0000 0.5000 1
Te1 Te 0.2404 0.5000 0.2187 1
Te2 Te 0.2615 0.0000 0.7818 1
# Crystal system   monoclinic
# Formation energy (no corrections)   -0.97 eV per atom

***

Entry 12:
# DyHo2In3Te6 PBE optimized geometry
data_DyHo2In3Te6
_cell_length_a 7.6246
_cell_length_b 13.2062
_cell_length_c 8.5043
_cell_angle_alpha 90.00
_cell_angle_beta 107.41
_cell_angle_gamma 90.00
_space_group_name_H-M_alt 'C 1 2/m 1'
_space_group_IT_number 12
loop_
_space_group_symop_operation_xyz
'x,y,z'
'-x,-y,-z'
'-x,y,-z'
'x,-y,z'
'x+1/2,y+1/2,z'
'-x+1/2,-y+1/2,-z'
'-x+1/2,y+1/2,-z'
'x+1/2,-y+1/2,z'
loop_
_atom_site_label
_atom_site_type_symbol
_atom_site_fract_x
_atom_site_fract_y
_atom_site_fract_z
_atom_site_occupancy
Dy1 Dy 0.0000 0.0000 0.0000 1
Ho1 Ho 0.0000 0.3333 0.0000 1
In1 In 0.0000 0.1664 0.5000 1
In2 In 0.0000 0.5000 0.5000 1
Te1 Te 0.2385 0.5000 0.2180 1
Te2 Te 0.2400 0.1672 0.2183 1
# Crystal system   monoclinic
# Formation energy (no corrections)   -0.96 eV per atom

***

Entry 13:
# Dy2HoIn3Te6 PBE optimized geometry
data_Dy2HoIn3Te6
_cell_length_a 7.6312
_cell_length_b 13.2181
_cell_length_c 8.5047
_cell_angle_alpha 90.00
_cell_angle_beta 107.41
_cell_angle_gamma 90.00
_space_group_name_H-M_alt 'C 1 2/m 1'
_space_group_IT_number 12
loop_
_space_group_symop_operation_xyz
'x,y,z'
'-x,-y,-z'
'-x,y,-z'
'x,-y,z'
'x+1/2,y+1/2,z'
'-x+1/2,-y+1/2,-z'
'-x+1/2,y+1/2,-z'
'x+1/2,-y+1/2,z'
loop_
_atom_site_label
_atom_site_type_symbol
_atom_site_fract_x
_atom_site_fract_y
_atom_site_fract_z
_atom_site_occupancy
Dy1 Dy 0.0000 0.1666 0.0000 1
Ho1 Ho 0.0000 0.5000 0.0000 1
In1 In 0.0000 0.0000 0.5000 1
In2 In 0.0000 0.3331 0.5000 1
Te1 Te 0.2390 0.3338 0.2185 1
Te2 Te 0.2406 0.0000 0.2188 1
# Crystal system   monoclinic
# Formation energy (no corrections)   -0.97 eV per atom

***

Entry 14:
# DyHo3In4Te8 PBE optimized geometry
data_DyHo3In4Te8
_cell_length_a 8.8030
_cell_length_b 8.8030
_cell_length_c 24.3296
_cell_angle_alpha 90.00
_cell_angle_beta 90.00
_cell_angle_gamma 120.00
_space_group_name_H-M_alt 'R -3 m'
_space_group_IT_number 166
_space_group_name_Hall '-R 3 2"'
loop_
_atom_site_label
_atom_site_type_symbol
_atom_site_fract_x
_atom_site_fract_y
_atom_site_fract_z
_atom_site_occupancy
Dy1 Dy 0.0000 0.0000 0.0000 1
Ho1 Ho 0.0000 0.5000 0.0000 1
In1 In 0.0000 0.0000 0.5000 1
In2 In 0.0000 0.5000 0.5000 1
Te1 Te 0.0000 0.0000 0.2607 1
Te2 Te 0.0009 0.5004 0.2606 1
# Crystal system   trigonal
# Formation energy (no corrections)   -0.96 eV per atom

***

Entry 15:
# Dy3HoIn4Te8 PBE optimized geometry
data_Dy3HoIn4Te8
_cell_length_a 8.8134
_cell_length_b 8.8134
_cell_length_c 24.3439
_cell_angle_alpha 90.00
_cell_angle_beta 90.00
_cell_angle_gamma 120.00
_space_group_name_H-M_alt 'R -3 m'
_space_group_IT_number 166
_space_group_name_Hall '-R 3 2"'
loop_
_atom_site_label
_atom_site_type_symbol
_atom_site_fract_x
_atom_site_fract_y
_atom_site_fract_z
_atom_site_occupancy
Dy1 Dy 0.0000 0.5000 0.0000 1
Ho1 Ho 0.0000 0.0000 0.0000 1
In1 In 0.0000 0.0000 0.5000 1
In2 In 0.0000 0.5000 0.5000 1
Te1 Te 0.0000 0.0000 0.2603 1
Te2 Te 0.0010 0.5005 0.7395 1
# Crystal system   trigonal
# Formation energy (no corrections)   -0.97 eV per atom

***

Entry 16:
# DyHo5Tl2In PBE optimized geometry
data_DyHo5Tl2In
_cell_length_a 7.5921
_cell_length_b 7.5921
_cell_length_c 18.5810
_cell_angle_alpha 90.00
_cell_angle_beta 90.00
_cell_angle_gamma 90.00
_space_group_name_H-M_alt 'I 4/m c m'
_space_group_IT_number 140
_space_group_name_Hall '-I 4 2c'
loop_
_atom_site_label
_atom_site_type_symbol
_atom_site_fract_x
_atom_site_fract_y
_atom_site_fract_z
_atom_site_occupancy
Dy1 Dy 0.0000 0.5000 0.2500 1
Ho1 Ho 0.0000 0.0000 0.0000 1
Ho2 Ho 0.2096 0.2904 0.1323 1
Tl1 Tl 0.1286 0.3714 0.5000 1
In1 In 0.0000 0.0000 0.2500 1
# Crystal system   tetragonal
# Final energy   -0.286 Ry/atom

***

Entry 17:
# Dy5HoTlIn2 PBE optimized geometry
data_Dy5HoTlIn2
_cell_length_a 8.5259
_cell_length_b 8.5259
_cell_length_c 14.3626
_cell_angle_alpha 90.00
_cell_angle_beta 90.00
_cell_angle_gamma 90.00
_space_group_name_H-M_alt 'I 4/m c m'
_space_group_IT_number 140
_space_group_name_Hall '-I 4 2c'
loop_
_atom_site_label
_atom_site_type_symbol
_atom_site_fract_x
_atom_site_fract_y
_atom_site_fract_z
_atom_site_occupancy
Dy1 Dy 0.0000 0.0000 0.0000 1
Dy2 Dy 0.2090 0.2910 0.1336 1
Ho1 Ho 0.0000 0.5000 0.2500 1
Tl1 Tl 0.0000 0.0000 0.2500 1
In1 In 0.1108 0.3892 0.5000 1
# Crystal system   tetragonal
# Final energy   -0.293 Ry/atom

***

Entry 18:
# DyHoTlIn PBE optimized geometry
data_DyHoTlIn
_cell_length_a 7.5409
_cell_length_b 7.5409
_cell_length_c 7.5409
_cell_angle_alpha 90.00
_cell_angle_beta 90.00
_cell_angle_gamma 90.00
_space_group_name_H-M_alt 'F -4 3 m'
_space_group_IT_number 216
_space_group_name_Hall 'F -4 2 3'
loop_
_atom_site_label
_atom_site_type_symbol
_atom_site_fract_x
_atom_site_fract_y
_atom_site_fract_z
_atom_site_occupancy
Dy1 Dy 0.0000 0.0000 0.0000 1
Ho1 Ho 0.0000 0.0000 0.5000 1
Tl1 Tl 0.2500 0.2500 0.7500 1
In1 In 0.2500 0.2500 0.2500 1
# Crystal system   cubic
# Final energy   -0.292 Ry/atom

***

Entry 19:
# Dy5Ho2TmIn PBE optimized geometry
data_Dy5Ho2TmIn
_cell_length_a 5.3246
_cell_length_b 20.0747
_cell_length_c 10.4378
_cell_angle_alpha 90.00
_cell_angle_beta 90.00
_cell_angle_gamma 90.00
_space_group_name_H-M_alt 'C m c 21'
_space_group_IT_number 36
loop_
_space_group_symop_operation_xyz
'x,y,z'
'-x,-y,z+1/2'
'-x,y,z'
'x,-y,z+1/2'
'x+1/2,y+1/2,z'
'-x+1/2,-y+1/2,z+1/2'
'-x+1/2,y+1/2,z'
'x+1/2,-y+1/2,z+1/2'
loop_
_atom_site_label
_atom_site_type_symbol
_atom_site_fract_x
_atom_site_fract_y
_atom_site_fract_z
_atom_site_occupancy
Dy1 Dy 0.0000 0.0001 0.0000 1
Dy2 Dy 0.0000 0.1188 0.2502 1
Dy3 Dy 0.0000 0.2115 0.5516 1
Dy4 Dy 0.0000 0.2112 0.9488 1
Dy5 Dy 0.0000 0.4882 0.2502 1
Ho1 Ho 0.0000 0.3841 0.5403 1
Ho2 Ho 0.0000 0.3839 0.9600 1
Tm1 Tm 0.0000 0.2931 0.2502 1
In1 In 0.0000 0.0961 0.7497 1
# Crystal system   orthorhombic
# Final energy   -0.322 Ry/atom

***

Entry 20:
# Dy6Ho3Tm2In PBE optimized geometry
data_Dy6Ho3Tm2In
_cell_length_a 6.0630
_cell_length_b 10.5126
_cell_length_c 11.5486
_cell_angle_alpha 90.00
_cell_angle_beta 100.16
_cell_angle_gamma 90.00
_space_group_name_H-M_alt 'C 1 2/m 1'
_space_group_IT_number 12
loop_
_space_group_symop_operation_xyz
'x,y,z'
'-x,-y,-z'
'-x,y,-z'
'x,-y,z'
'x+1/2,y+1/2,z'
'-x+1/2,-y+1/2,-z'
'-x+1/2,y+1/2,-z'
'x+1/2,-y+1/2,z'
loop_
_atom_site_label
_atom_site_type_symbol
_atom_site_fract_x
_atom_site_fract_y
_atom_site_fract_z
_atom_site_occupancy
Dy1 Dy 0.2462 0.1648 0.2463 1
Dy2 Dy 0.2478 0.0000 0.7522 1
Ho1 Ho 0.0000 0.1670 0.5000 1
Ho2 Ho 0.0000 0.5000 0.5000 1
Tm1 Tm 0.0000 0.3341 0.0000 1
In1 In 0.0000 0.0000 0.0000 1
# Crystal system   monoclinic
# Final energy   -0.327 Ry/atom